Entry from OQMD: an optimized crystal structure of YLu2Pd (PBE).

Calculated values
Space group   No. 216
Energy   -21.325 eV for the cell shown

extended XYZ file:
```
4
Lattice="0.0000 3.6650 3.6650 3.6650 0.0000 3.6650 3.6650 3.6650 0.0000" Properties=species:S:1:pos:R:3 pbc="T T T"
Y 0.0000 0.0000 0.0000
Lu 3.6650 3.6650 3.6650
Lu 5.4974 5.4974 5.4974
Pd 1.8325 1.8325 1.8325
```

Entry from OQMD: an optimized crystal structure of AsOs (PBE).

Calculated values
Space group   No. 51
Energy   -60.496 eV for the cell shown

extended XYZ file:
```
8
Lattice="5.0152 0.0000 0.0000 0.0000 4.1108 0.0000 0.0000 0.0000 6.9967" Properties=species:S:1:pos:R:3 pbc="T T T"
As 1.2538 0.0000 0.6531
As 1.2538 2.0554 4.6419
As 3.7614 0.0000 6.3436
As 3.7614 2.0554 2.3548
Os 0.0000 0.0000 3.4983
Os 1.2538 2.0554 2.0412
Os 2.5076 0.0000 3.4983
Os 3.7614 2.0554 4.9555
```

Entry from OQMD: an optimized crystal structure of Tb2DyPd3Pb3 (PBE).

Calculated values
Space group   No. 38
Energy   -47.074 eV for the cell shown

extended XYZ file:
```
9
Lattice="3.8811 0.0000 0.0000 0.0000 6.7929 3.9250 0.0000 -6.7929 3.9250" Properties=species:S:1:pos:R:3 pbc="T T T"
Tb 0.0000 -4.0663 3.9250
Tb 0.0000 4.0663 3.9250
Dy 0.0000 0.0000 3.1250
Pd 0.0000 0.0000 6.2717
Pd 1.9406 -2.2604 2.3509
Pd 1.9406 2.2604 2.3509
Pb 1.9406 0.0000 0.5153
Pb 1.9406 -1.8064 5.2286
Pb 1.9406 1.8064 5.2286
```

Entry from OQMD: an optimized crystal structure of Sc2AgGe2Au (PBE).

Calculated values
Space group   No. 6
Energy   -124.704 eV for the cell shown

extended XYZ file:
```
24
Lattice="7.6946 0.0000 0.0000 0.0000 4.4408 0.0000 -2.5565 0.0000 14.5041" Properties=species:S:1:pos:R:3 pbc="T T T"
Sc 0.0000 0.0000 0.0000
Sc -1.2683 2.2204 7.2611
Sc 0.0030 0.0000 10.8756
Sc 1.2925 2.2204 3.6303
Sc 2.5714 0.0000 7.2532
Sc 3.8604 2.2204 0.0088
Sc 5.1363 0.0000 3.6316
Sc 3.8688 2.2204 10.8928
Ag 0.0141 0.0000 13.6028
Ag 1.2925 2.2204 6.3497
Ag 2.5779 0.0000 9.9776
Ag 5.1401 0.0000 6.3527
Ge 0.0093 0.0000 5.4551
Ge -1.2578 2.2204 12.7025
Ge 2.5710 0.0000 1.8089
Ge 1.3049 2.2204 9.0667
Ge 2.5680 0.0000 12.6886
Ge 3.8570 2.2204 5.4581
Ge 5.1303 0.0000 9.0616
Ge 6.4208 2.2204 1.8198
Au 0.0058 0.0000 2.7200
Au -1.2728 2.2204 9.9749
Au 3.8571 2.2204 2.7233
Au 3.8614 2.2204 13.6074
```

Entry from OQMD: an optimized crystal structure of CsLuNO (PBE).

Calculated values
Space group   No. 129
Energy   -45.626 eV for the cell shown
Energy above the most stable polymorph in this dataset   0.00 eV/f.u.

extended XYZ file:
```
8
Lattice="4.4948 0.0000 0.0000 0.0000 4.4948 0.0000 0.0000 0.0000 8.7672" Properties=species:S:1:pos:R:3 pbc="T T T"
Cs 1.1237 3.3711 0.0000
Cs 3.3711 1.1237 0.0000
Lu 1.1237 1.1237 3.8359
Lu 3.3711 3.3711 4.9313
N 1.1237 1.1237 1.7459
N 3.3711 3.3711 7.0213
O 1.1237 3.3711 4.3836
O 3.3711 1.1237 4.3836
```

Entry from OQMD: an optimized crystal structure of AgGeSO (PBE).

Calculated values
Space group   No. 129
Energy   -33.212 eV for the cell shown
Energy above the most stable polymorph in this dataset   2.11 eV/f.u.

extended XYZ file:
```
8
Lattice="4.1185 0.0000 0.0000 0.0000 4.1185 0.0000 0.0000 0.0000 8.8993" Properties=species:S:1:pos:R:3 pbc="T T T"
Ag 1.0296 1.0296 0.5462
Ag 3.0889 3.0889 8.3530
Ge 1.0296 1.0296 5.6851
Ge 3.0889 3.0889 3.2141
S 1.0296 1.0296 3.3332
S 3.0889 3.0889 5.5661
O 1.0296 3.0889 0.0000
O 3.0889 1.0296 0.0000
```

Entry from OQMD: an optimized crystal structure of Li2Tl2Cd2CuPd (PBE).

Calculated values
Space group   No. 115
Energy   -20.788 eV for the cell shown

extended XYZ file:
```
8
Lattice="4.6597 0.0000 0.0000 0.0000 4.6597 0.0000 0.0000 0.0000 6.5780" Properties=species:S:1:pos:R:3 pbc="T T T"
Li 0.0000 0.0000 0.0000
Li 2.3299 2.3299 3.2890
Tl 0.0000 2.3299 1.6277
Tl 2.3299 0.0000 4.9503
Cd 0.0000 2.3299 4.9481
Cd 2.3299 0.0000 1.6299
Cu 2.3299 2.3299 0.0000
Pd 0.0000 0.0000 3.2890
```

Entry from OQMD: an optimized crystal structure of GdZn (PBE).

Calculated values
Space group   No. 59
Energy   -13.105 eV for the cell shown
Energy above the most stable polymorph in this dataset   0.04 eV/f.u.

extended XYZ file:
```
4
Lattice="4.8246 0.0000 0.0000 0.0000 4.9642 0.0000 0.0000 0.0000 3.7482" Properties=species:S:1:pos:R:3 pbc="T T T"
Gd 1.2062 1.2411 0.0637
Gd 3.6185 3.7232 3.6845
Zn 1.2062 3.7232 1.8603
Zn 3.6185 1.2411 1.8880
```

Entry from OQMD: an optimized crystal structure of YFeCoB (PBE).

Calculated values
Space group   No. 216
Energy   -26.467 eV for the cell shown
Energy above the most stable polymorph in this dataset   0.49 eV/f.u.

extended XYZ file:
```
4
Lattice="0.0000 2.9452 2.9452 2.9452 0.0000 2.9452 2.9452 2.9452 0.0000" Properties=species:S:1:pos:R:3 pbc="T T T"
Y 0.0000 0.0000 0.0000
Fe 1.4726 1.4726 1.4726
Co 4.4178 4.4178 4.4178
B 2.9452 2.9452 2.9452
```

Entry from OQMD: an optimized crystal structure of BaWS4 (PBE).

Calculated values
Space group   No. 88
Energy   -75.037 eV for the cell shown

extended XYZ file:
```
12
Lattice="-3.2758 3.2758 8.1518 3.2758 -3.2758 8.1518 3.2758 3.2758 -8.1518" Properties=species:S:1:pos:R:3 pbc="T T T"
Ba 0.0000 1.6379 2.0379
Ba 3.2758 1.6379 6.1138
W 3.2758 1.6379 -2.0379
W 0.0000 1.6379 10.1897
S 1.6335 0.8757 -0.7749
S 2.5136 0.0044 3.3010
S 2.5136 3.2802 -3.3010
S 1.6423 -0.8757 7.3768
S 1.6335 4.1515 0.7749
S 0.7622 -0.0044 11.4527
S 0.7622 3.2714 4.8508
S 1.6423 2.4001 8.9267
```

Entry from OQMD: an optimized crystal structure of ErCoB (PBE).

Calculated values
Space group   No. 62
Energy   -78.340 eV for the cell shown
Energy above the most stable polymorph in this dataset   0.00 eV/f.u.

extended XYZ file:
```
12
Lattice="6.2278 0.0000 0.0000 0.0000 3.5016 0.0000 0.0000 0.0000 7.8418" Properties=species:S:1:pos:R:3 pbc="T T T"
Er 0.1477 0.8754 1.4790
Er 2.9662 2.6262 5.3999
Er 3.2616 0.8754 2.4420
Er 6.0800 2.6262 6.3629
Co 0.8664 0.8754 4.1930
Co 2.2474 2.6262 0.2721
Co 3.9803 0.8754 7.5697
Co 5.3613 2.6262 3.6488
B 1.1823 2.6262 3.3674
B 1.9316 0.8754 7.2884
B 4.2961 2.6262 0.5535
B 5.0455 0.8754 4.4744
```

Entry from OQMD: an optimized crystal structure of CoReB4 (PBE).

Calculated values
Space group   No. 71
Energy   -45.566 eV for the cell shown
Energy above the most stable polymorph in this dataset   0.04 eV/f.u.

extended XYZ file:
```
6
Lattice="-1.4702 2.6319 3.1917 1.4702 -2.6319 3.1917 1.4702 2.6319 -3.1917" Properties=species:S:1:pos:R:3 pbc="T T T"
Co 0.0000 0.0000 0.0000
Re 0.0000 0.0000 3.1917
B 1.4702 -0.8612 1.5456
B 1.4702 0.8612 1.5456
B 0.0000 1.7707 1.6462
B 0.0000 3.4931 1.6462
```